[1]
{"formula": "TlRhO2F", "functional": "PBE", "state": "relaxed", "lattice_angstrom": [[-2.3053, 2.6953, -1.6796], [-0.5116, -2.3635, -3.0906], [-3.7585, -1.9145, 2.0863]], "species": ["O", "F", "O", "Rh", "Tl"], "fractional_positions": [[0.5000, 0.0000, 0.0000], [0.0000, 0.0000, 0.5000], [0.0000, 0.5000, 0.0000], [0.0000, 0.0000, 0.0000], [0.5000, 0.5000, 0.5000]], "e_tot_ev_per_atom": -5.09, "raw_formation_energy_kj_per_mol_fu": -381, "m_tot_mub_per_cell": 1.734, "sg": "P4/mmm"}

[2]
{"formula": "TaVRu4", "functional": "PBE", "state": "relaxed", "lattice_angstrom": [[-2.3712, 1.1205, 0.9135], [-2.6126, 0.0811, -6.8813], [-3.2993, -7.9268, 1.1592]], "species": ["V", "Ru", "Ru", "Ru", "Ru", "Ta", "V", "Ru", "Ta", "Ru", "Ru", "Ru"], "fractional_positions": [[0.0000, 0.5589, 0.2500], [0.5000, 0.3295, 0.0076], [0.5000, 0.6705, 0.9924], [0.5000, 0.3295, 0.4924], [0.5000, 0.1379, 0.7500], [0.0000, 0.8104, 0.7500], [0.0000, 0.4411, 0.7500], [0.5000, 0.6705, 0.5076], [0.0000, 0.1896, 0.2500], [0.5000, 0.8621, 0.2500], [0.0000, 0.0000, 0.0000], [0.0000, 0.0000, 0.5000]], "e_tot_ev_per_atom": -9.71, "e_form_ev_per_atom": -0.031, "m_tot_mub_per_cell": 0.001, "de_polymorph_ev_per_fu": 0.000, "sg": "Pmma"}

[3]
{"formula": "DyEr4Ru", "functional": "PBE", "state": "relaxed", "lattice_angstrom": [[5.9618, 0.0000, -0.5107], [0.0000, 7.3591, 0.0000], [-2.3179, -3.6795, 7.9784]], "species": ["Ru", "Er", "Dy", "Er", "Ru", "Er", "Er", "Dy", "Er", "Er", "Er", "Er"], "fractional_positions": [[0.7381, 0.4997, 0.9995], [0.8290, 0.3287, 0.6573], [0.7996, 0.7999, 0.5997], [0.3861, 0.6372, 0.7720], [0.2619, 0.5003, 0.0005], [0.6139, 0.8652, 0.2280], [0.3861, 0.1348, 0.7720], [0.2004, 0.2001, 0.4003], [0.6139, 0.3628, 0.2280], [0.0000, 0.2088, 0.0000], [0.1710, 0.6713, 0.3427], [0.0000, 0.7912, 0.0000]], "e_tot_ev_per_atom": -5.49, "e_form_ev_per_atom": -0.140, "m_tot_mub_per_cell": 0.001, "sg": "Immm"}

[4]
{"formula": "HfAg2F11", "functional": "PBE", "state": "relaxed", "lattice_angstrom": [[1.6835, -2.8618, 8.1166], [0.5710, -7.8837, 1.8393], [7.4113, -2.2779, 2.3970]], "species": ["F", "F", "Ag", "Ag", "F", "F", "F", "F", "F", "F", "F", "F", "F", "F", "Hf", "F", "F", "F", "F", "F", "F", "F", "F", "Hf", "F", "Ag", "Ag", "F"], "fractional_positions": [[0.9224, 0.8357, 0.4515], [0.7903, 0.4515, 0.8357], [0.3152, 0.3146, 0.6854], [0.8152, 0.1854, 0.8146], [0.6546, 0.3444, 0.6556], [0.5000, 0.5000, 0.5000], [0.1633, 0.0780, 0.2083], [0.0000, 0.0000, 0.0000], [0.0776, 0.1643, 0.5485], [0.8367, 0.9220, 0.7917], [0.6633, 0.7083, 0.5780], [0.4496, 0.7917, 0.9220], [0.2903, 0.3357, 0.9515], [0.4224, 0.9515, 0.3357], [0.2500, 0.2500, 0.2500], [0.5504, 0.2083, 0.0780], [0.1546, 0.1556, 0.8444], [0.3454, 0.6556, 0.3444], [0.2097, 0.5485, 0.1643], [0.5776, 0.0485, 0.6643], [0.8454, 0.8444, 0.1556], [0.7097, 0.6643, 0.0485], [0.3367, 0.2917, 0.4220], [0.7500, 0.7500, 0.7500], [0.9496, 0.4220, 0.2917], [0.1848, 0.8146, 0.1854], [0.6848, 0.6854, 0.3146], [0.0504, 0.5780, 0.7083]], "e_tot_ev_per_atom": -4.38, "raw_formation_energy_kj_per_mol_fu": -2422, "m_tot_mub_per_cell": 5.531, "sg": "Ibam"}

[5]
{"formula": "TcMoP2", "functional": "PBE", "state": "relaxed", "lattice_angstrom": [[0.3876, 1.5147, 3.9085], [1.1310, 4.0101, 0.6007], [-2.8003, 2.7795, 1.4675]], "species": ["Tc", "P", "Mo", "P"], "fractional_positions": [[0.5000, 0.5000, 0.5000], [0.7500, 0.7500, 0.7500], [0.0000, 0.0000, 0.0000], [0.2500, 0.2500, 0.2500]], "e_tot_ev_per_atom": -8.37, "e_form_ev_per_atom": -0.363, "m_tot_mub_per_cell": 0.000, "de_polymorph_ev_per_fu": 0.752, "sg": "Fm-3m"}

[6]
{"formula": "La14SmHg", "functional": "PBE", "state": "relaxed", "lattice_angstrom": [[7.2503, 0.9742, 0.0000], [-0.9714, 7.2507, 0.0000], [0.0000, 0.0000, 10.4296]], "species": ["La", "La", "Hg", "La", "La", "La", "La", "La", "La", "La", "La", "La", "La", "La", "Sm", "La"], "fractional_positions": [[0.6197, 0.8693, 0.2438], [0.6197, 0.8693, 0.7562], [0.3752, 0.6248, 0.0000], [0.3836, 0.1448, 0.0000], [0.1307, 0.3803, 0.7562], [0.6220, 0.3780, 0.2564], [0.1327, 0.8673, 0.2318], [0.8552, 0.6164, 0.0000], [0.8812, 0.6333, 0.5000], [0.3724, 0.6276, 0.5000], [0.1327, 0.8673, 0.7682], [0.1307, 0.3803, 0.2438], [0.8827, 0.1173, 0.5000], [0.6220, 0.3780, 0.7436], [0.8732, 0.1268, 0.0000], [0.3667, 0.1188, 0.5000]], "e_tot_ev_per_atom": -4.67, "e_form_ev_per_atom": -0.048, "m_tot_mub_per_cell": 0.000, "sg": "Amm2"}

[7]
{"formula": "NdHo3Cu4", "functional": "PBE", "state": "relaxed", "lattice_angstrom": [[4.9387, 0.0000, 0.0000], [0.0000, 6.9524, 0.0000], [0.0000, 0.0000, 9.8752]], "species": ["Ho", "Cu", "Ho", "Cu", "Cu", "Ho", "Cu", "Ho", "Ho", "Cu", "Cu", "Nd", "Nd", "Ho", "Cu", "Cu"], "fractional_positions": [[0.5003, 0.5000, 0.2500], [0.5000, 0.7614, 0.0000], [0.5002, 0.0000, 0.2500], [0.9996, 0.7617, 0.7500], [0.0004, 0.7617, 0.2500], [0.0000, 0.0000, 0.5000], [0.5000, 0.7614, 0.5000], [0.0000, 0.0000, 0.0000], [0.4997, 0.5000, 0.7500], [0.5000, 0.2386, 0.5000], [0.5000, 0.2386, 0.0000], [0.0000, 0.5000, 0.5000], [0.0000, 0.5000, 0.0000], [0.4998, 0.0000, 0.7500], [0.9996, 0.2383, 0.7500], [0.0004, 0.2383, 0.2500]], "e_tot_ev_per_atom": -4.59, "e_form_ev_per_atom": -0.228, "m_tot_mub_per_cell": 0.000, "sg": "P4/mmm"}

[8]
{"formula": "CuI", "functional": "PBE", "state": "relaxed", "lattice_angstrom": [[11.6657, 0.0000, 0.0000], [0.0000, 4.2082, 0.0000], [0.0000, 0.0000, 6.7960]], "species": ["I", "I", "Cu", "I", "Cu", "Cu", "I", "Cu", "I", "I", "Cu", "Cu"], "fractional_positions": [[0.1775, 0.1753, 0.2487], [0.3225, 0.8247, 0.7487], [0.1987, 0.3121, 0.6312], [0.8225, 0.1753, 0.2487], [0.3013, 0.6879, 0.1312], [0.8013, 0.3121, 0.6312], [0.6775, 0.8247, 0.7487], [0.5000, 0.9130, 0.0047], [0.5000, 0.4121, 0.2374], [0.0000, 0.5879, 0.7374], [0.6987, 0.6879, 0.1312], [0.0000, 0.0870, 0.5047]], "e_tot_ev_per_atom": -2.90, "raw_formation_energy_kj_per_mol_fu": -16, "m_tot_mub_per_cell": 0.000, "sg": "Pmn2_1"}

[9]
{"formula": "Pa2SeN", "functional": "PBE", "state": "relaxed", "lattice_angstrom": [[3.4652, 0.0000, 0.0000], [1.7326, 3.0009, 0.0000], [1.7326, 1.0003, 7.3594]], "species": ["Se", "N", "Pa", "Pa"], "fractional_positions": [[0.6667, 0.6667, 0.0000], [0.5005, 0.5005, 0.4984], [0.2375, 0.2375, 0.2875], [0.0953, 0.0953, 0.7141]], "e_tot_ev_per_atom": -8.73, "raw_formation_energy_kj_per_mol_fu": -396, "m_tot_mub_per_cell": 0.002, "de_polymorph_ev_per_fu": 1.367, "sg": "R3m"}

[10]
{"formula": "La14YHo", "functional": "PBE", "state": "relaxed", "lattice_angstrom": [[0.0162, 2.1374, 7.0743], [-5.8061, 4.3790, -1.3146], [-6.5064, -7.9052, 2.4034]], "species": ["La", "La", "La", "La", "La", "La", "La", "La", "Y", "La", "La", "La", "La", "La", "Ho", "La"], "fractional_positions": [[0.3740, 0.6260, 0.7511], [0.6254, 0.3746, 0.5000], [0.8760, 0.1240, 0.7515], [0.6252, 0.8752, 0.0000], [0.8759, 0.6259, 0.7513], [0.1251, 0.3751, 0.5000], [0.3741, 0.1241, 0.7513], [0.1248, 0.3748, 0.0000], [0.6247, 0.3753, 0.0000], [0.3741, 0.1241, 0.2487], [0.6249, 0.8749, 0.5000], [0.8760, 0.1240, 0.2485], [0.3740, 0.6260, 0.2489], [0.1246, 0.8754, 0.5000], [0.1253, 0.8747, 0.0000], [0.8759, 0.6259, 0.2487]], "e_tot_ev_per_atom": -4.99, "e_form_ev_per_atom": 0.009, "m_tot_mub_per_cell": 0.000, "sg": "Amm2"}

[11]
{"formula": "Ba8CdRhAu2", "functional": "PBE", "state": "relaxed", "lattice_angstrom": [[-5.1887, -4.2744, -4.0959], [-0.2190, -5.2521, 5.5616], [-7.4379, 4.8871, 4.3222]], "species": ["Cd", "Au", "Ba", "Ba", "Ba", "Ba", "Ba", "Au", "Rh", "Ba", "Ba", "Ba"], "fractional_positions": [[0.0000, 0.0000, 0.5000], [0.5000, 0.5000, 0.2441], [0.8278, 0.2227, 0.2228], [0.1722, 0.7773, 0.2228], [0.3382, 0.2804, 0.5000], [0.3122, 0.2589, 0.0000], [0.6618, 0.7196, 0.5000], [0.5000, 0.5000, 0.7559], [0.0000, 0.0000, 0.0000], [0.6878, 0.7411, 0.0000], [0.1722, 0.7773, 0.7772], [0.8278, 0.2227, 0.7772]], "e_tot_ev_per_atom": -2.86, "e_form_ev_per_atom": -0.345, "m_tot_mub_per_cell": 0.000, "sg": "P2/m"}

[12]
{"formula": "Ba3InIr2O9", "functional": "PBE", "state": "relaxed", "lattice_angstrom": [[-1.9582, -4.5302, 3.2381], [-1.7500, 0.5951, -5.6058], [11.3228, -8.0303, -4.3873]], "species": ["Ir", "O", "O", "Ba", "O", "O", "O", "Ir", "Ir", "O", "O", "O", "O", "O", "Ba", "In", "O", "O", "O", "O", "Ba", "Ba", "Ba", "In", "O", "O", "Ba", "O", "O", "Ir"], "fractional_positions": [[0.6667, 0.3333, 0.3366], [0.5093, 0.4907, 0.2500], [0.1735, 0.3471, 0.5843], [0.0000, 0.0000, 0.7500], [0.8265, 0.1735, 0.4157], [0.9813, 0.4907, 0.2500], [0.3471, 0.1735, 0.0843], [0.6667, 0.3333, 0.1634], [0.3333, 0.6667, 0.6634], [0.0187, 0.5093, 0.7500], [0.1735, 0.3471, 0.9157], [0.5093, 0.0187, 0.2500], [0.3471, 0.1735, 0.4157], [0.8265, 0.1735, 0.0843], [0.3333, 0.6667, 0.0867], [0.0000, 0.0000, 0.0000], [0.4907, 0.9813, 0.7500], [0.4907, 0.5093, 0.7500], [0.8265, 0.6529, 0.0843], [0.6529, 0.8265, 0.9157], [0.6667, 0.3333, 0.5867], [0.0000, 0.0000, 0.2500], [0.3333, 0.6667, 0.4133], [0.0000, 0.0000, 0.5000], [0.1735, 0.8265, 0.9157], [0.8265, 0.6529, 0.4157], [0.6667, 0.3333, 0.9133], [0.1735, 0.8265, 0.5843], [0.6529, 0.8265, 0.5843], [0.3333, 0.6667, 0.8366]], "e_tot_ev_per_atom": -6.45, "raw_formation_energy_kj_per_mol_fu": -2500, "m_tot_mub_per_cell": 0.000, "sg": "P6_3/mmc"}

[13]
{"formula": "Nb2CuPt4", "functional": "PBE", "state": "relaxed", "lattice_angstrom": [[-0.6647, -5.7150, -3.1269], [2.5321, -2.4068, 3.8605], [-5.5005, 1.7798, 4.7173]], "species": ["Pt", "Pt", "Cu", "Nb", "Nb", "Pt", "Pt", "Pt", "Pt", "Pt", "Nb", "Nb", "Pt", "Cu"], "fractional_positions": [[0.9505, 0.2500, 0.1869], [0.0495, 0.7500, 0.8131], [0.2473, 0.7500, 0.1999], [0.6315, 0.7500, 0.5514], [0.1961, 0.2500, 0.9805], [0.0464, 0.7500, 0.4253], [0.4051, 0.9969, 0.7765], [0.9536, 0.2500, 0.5747], [0.4051, 0.5031, 0.7765], [0.5949, 0.0031, 0.2235], [0.3685, 0.2500, 0.4486], [0.8039, 0.7500, 0.0195], [0.5949, 0.4969, 0.2235], [0.7527, 0.2500, 0.8001]], "e_tot_ev_per_atom": -7.27, "e_form_ev_per_atom": -0.359, "m_tot_mub_per_cell": 0.000, "sg": "P2_1/m"}

[14]
{"formula": "LiAgPb", "functional": "PBE", "state": "relaxed", "lattice_angstrom": [[4.8351, 0.0000, 0.0000], [-2.4175, 4.1873, 0.0000], [0.0000, 0.0000, 3.1666]], "species": ["Ag", "Pb", "Li"], "fractional_positions": [[0.0000, 0.0000, 0.9938], [0.3333, 0.6667, 0.7083], [0.6667, 0.3333, 0.2980]], "e_tot_ev_per_atom": -2.95, "e_form_ev_per_atom": -0.126, "m_tot_mub_per_cell": 0.000, "de_polymorph_ev_per_fu": 0.073, "sg": "P3m1"}

[15]
{"formula": "LiGdTh", "functional": "PBE", "state": "relaxed", "lattice_angstrom": [[-1.2658, -2.9359, -1.4225], [0.5124, 0.1898, 3.4564], [-7.8580, 2.9008, 1.0056]], "species": ["Th", "Li", "Gd"], "fractional_positions": [[0.6667, 0.3333, 0.3317], [0.0000, 0.0000, 0.9995], [0.3333, 0.6667, 0.6688]], "e_tot_ev_per_atom": -7.66, "e_form_ev_per_atom": 0.140, "m_tot_mub_per_cell": 7.118, "de_polymorph_ev_per_fu": 0.064, "sg": "P3m1"}

[16]
{"formula": "NdDy2In", "functional": "PBE", "state": "relaxed", "lattice_angstrom": [[3.6289, 0.0000, 0.0000], [1.8144, 3.1427, 0.0000], [1.8144, 1.0476, 10.9095]], "species": ["Dy", "In", "Nd", "Dy"], "fractional_positions": [[0.2572, 0.2572, 0.2283], [0.6665, 0.6665, 0.0006], [0.4999, 0.4999, 0.5002], [0.0764, 0.0764, 0.7709]], "e_tot_ev_per_atom": -4.31, "e_form_ev_per_atom": -0.134, "m_tot_mub_per_cell": 0.000, "de_polymorph_ev_per_fu": 0.522, "sg": "R3m"}

[17]
{"formula": "Tb2PuIn3Te6", "functional": "PBE", "state": "relaxed", "lattice_angstrom": [[7.6978, -0.0012, 0.0001], [-3.8481, 6.6669, 0.0001], [-1.2838, -2.2228, 8.0574]], "species": ["In", "Te", "Te", "Te", "Te", "Te", "In", "Tb", "Pu", "Te", "Tb", "In"], "fractional_positions": [[0.8340, 0.1660, 0.5000], [0.5890, 0.9261, 0.7783], [0.7365, 0.7365, 0.2210], [0.9261, 0.5890, 0.7783], [0.2635, 0.2635, 0.7790], [0.0739, 0.4110, 0.2217], [0.1660, 0.8340, 0.5000], [0.6668, 0.3332, 0.0000], [0.0000, 0.0000, 0.0000], [0.4110, 0.0739, 0.2217], [0.3332, 0.6668, 0.0000], [0.5000, 0.5000, 0.5000]], "e_tot_ev_per_atom": -5.10, "raw_formation_energy_kj_per_mol_fu": -1016, "m_tot_mub_per_cell": 5.132, "sg": "C2/m"}

[18]
{"formula": "CaLa4Th2", "functional": "PBE", "state": "relaxed", "lattice_angstrom": [[3.6705, 0.0000, 0.3454], [1.8190, 3.1881, 0.3454], [-0.1737, -0.1009, 21.5215]], "species": ["La", "Ca", "La", "Th", "La", "La", "Th"], "fractional_positions": [[0.9018, 0.9018, 0.2946], [0.0000, 0.0000, 0.0000], [0.3848, 0.3848, 0.8457], [0.8111, 0.8111, 0.5668], [0.0982, 0.0982, 0.7054], [0.6152, 0.6152, 0.1543], [0.1889, 0.1889, 0.4332]], "e_tot_ev_per_atom": -5.17, "e_form_ev_per_atom": 0.050, "m_tot_mub_per_cell": 0.000, "sg": "R-3m"}

[19]
{"formula": "TbHoEr2", "functional": "PBE", "state": "relaxed", "lattice_angstrom": [[-2.4126, 1.6833, -2.0705], [-3.6029, -4.8059, -2.8337], [-5.9470, -1.9862, 2.1900]], "species": ["Tb", "Er", "Er", "Ho"], "fractional_positions": [[0.2500, 0.1667, 0.3333], [0.0002, 0.0834, 0.9158], [0.4998, 0.5841, 0.4166], [0.7500, 0.6658, 0.8342]], "e_tot_ev_per_atom": -4.58, "e_form_ev_per_atom": 0.004, "m_tot_mub_per_cell": 0.000, "de_polymorph_ev_per_fu": 0.000, "sg": "Imm2"}

[20]
{"formula": "Sn2GeBr", "functional": "PBE", "state": "relaxed", "lattice_angstrom": [[8.9177, 0.0000, 0.0000], [0.0000, 8.9177, 0.0000], [4.4588, 4.4588, 2.8752]], "species": ["Br", "Sn", "Ge", "Ge", "Sn", "Br", "Sn", "Sn"], "fractional_positions": [[0.7500, 0.2500, 0.5000], [0.5569, 0.1250, 0.2500], [0.5000, 0.5000, 0.0000], [0.2500, 0.7500, 0.5000], [0.3750, 0.4431, 0.7500], [0.0000, 0.0000, 0.0000], [0.8750, 0.8069, 0.7500], [0.1931, 0.6250, 0.2500]], "e_tot_ev_per_atom": -3.56, "raw_formation_energy_kj_per_mol_fu": 6, "m_tot_mub_per_cell": 0.000, "de_polymorph_ev_per_fu": 0.000, "sg": "I-42d"}